Record 1
This record from the Alexandria database describes crystalline HoTm4Ag at its relaxed geometry. The functional is GGA-PBE.

Cell and atoms, written as CIF:
```
data_HoTm4Ag
_cell_length_a 5.346
_cell_length_b 20.634
_cell_length_c 6.334
_cell_angle_alpha 90.00
_cell_angle_beta 90.00
_cell_angle_gamma 90.00
_space_group_name_H-M_alt 'C m c 21'
_space_group_IT_number 36
_space_group_name_Hall 'C 2c -2'
loop_
_atom_site_label
_atom_site_type_symbol
_atom_site_fract_x
_atom_site_fract_y
_atom_site_fract_z
_atom_site_occupancy
Ho1 Ho 0.000 0.136 0.000 1
Tm1 Tm 0.000 0.066 0.504 1
Tm2 Tm 0.000 0.258 0.628 1
Tm3 Tm 0.000 0.323 0.139 1
Tm4 Tm 0.000 0.465 0.337 1
Ag1 Ag 0.000 0.398 0.748 1
```

* energy above the lowest structure with this stoichiometry: 125 meV per atom
* magnetization: 0.0000 μB per atom
* VASP energy: -100.14 eV/cell

---

Record 2
This record from the Alexandria database describes crystalline HoTm2Ag3 at its relaxed geometry. The functional is GGA-PBE.

Cell and atoms, written as CIF:
```
data_HoTm2Ag3
_cell_length_a 3.579
_cell_length_b 3.579
_cell_length_c 10.900
_cell_angle_alpha 90.00
_cell_angle_beta 90.00
_cell_angle_gamma 90.00
_space_group_name_H-M_alt 'P 4/m m m'
_space_group_IT_number 123
_space_group_name_Hall '-P 4 2'
loop_
_atom_site_label
_atom_site_type_symbol
_atom_site_fract_x
_atom_site_fract_y
_atom_site_fract_z
_atom_site_occupancy
Ho1 Ho 0.000 0.000 0.000 1
Tm1 Tm 0.000 0.000 0.334 1
Ag1 Ag 0.500 0.500 0.170 1
Ag2 Ag 0.500 0.500 0.500 1
```

* magnetization: 0.0000 μB per atom
* VASP energy: -24.11 eV/cell

---

Record 3
This record from the Alexandria database describes crystalline Ho2TmAg6 at its relaxed geometry. The functional is GGA-PBE.

Cell and atoms, written as CIF:
```
data_Ho2TmAg6
_cell_length_a 13.978
_cell_length_b 10.809
_cell_length_c 5.280
_cell_angle_alpha 90.00
_cell_angle_beta 100.54
_cell_angle_gamma 90.00
_space_group_name_H-M_alt 'C 1 2/c 1'
_space_group_IT_number 15
_space_group_name_Hall '-C 2yc'
loop_
_atom_site_label
_atom_site_type_symbol
_atom_site_fract_x
_atom_site_fract_y
_atom_site_fract_z
_atom_site_occupancy
Ho1 Ho 0.167 0.125 0.083 1
Tm1 Tm 0.000 0.375 0.250 1
Ag1 Ag 0.056 0.127 0.526 1
Ag2 Ag 0.110 0.376 0.807 1
Ag3 Ag 0.221 0.375 0.361 1
```

* magnetization: 0.0000 μB per atom
* VASP energy: -130.75 eV/cell

---

Record 4
This record from the Alexandria database describes crystalline Ho3Tm4Ag at its relaxed geometry. The functional is GGA-PBE.

Cell and atoms, written as CIF:
```
data_Ho3Tm4Ag
_cell_length_a 3.502
_cell_length_b 3.502
_cell_length_c 18.754
_cell_angle_alpha 90.00
_cell_angle_beta 90.00
_cell_angle_gamma 90.00
_space_group_name_H-M_alt 'P 4/m m m'
_space_group_IT_number 123
_space_group_name_Hall '-P 4 2'
loop_
_atom_site_label
_atom_site_type_symbol
_atom_site_fract_x
_atom_site_fract_y
_atom_site_fract_z
_atom_site_occupancy
Ho1 Ho 0.000 0.000 0.000 1
Ho2 Ho 0.000 0.000 0.265 1
Tm1 Tm 0.500 0.500 0.133 1
Tm2 Tm 0.500 0.500 0.399 1
Ag1 Ag 0.000 0.000 0.500 1
```

* magnetization: 0.0000 μB per atom
* VASP energy: -34.93 eV/cell

---

Record 5
This record from the Alexandria database describes crystalline HoTm3Ag2 at its relaxed geometry. The functional is GGA-PBE.

Cell and atoms, written as CIF:
```
data_HoTm3Ag2
_cell_length_a 6.969
_cell_length_b 13.823
_cell_length_c 7.293
_cell_angle_alpha 90.00
_cell_angle_beta 90.00
_cell_angle_gamma 90.00
_space_group_name_H-M_alt 'I b a m'
_space_group_IT_number 72
_space_group_name_Hall '-I 2 2c'
loop_
_atom_site_label
_atom_site_type_symbol
_atom_site_fract_x
_atom_site_fract_y
_atom_site_fract_z
_atom_site_occupancy
Ho1 Ho 0.000 0.000 0.000 1
Tm1 Tm 0.000 0.229 0.250 1
Tm2 Tm 0.000 0.500 0.250 1
Ag1 Ag 0.201 0.358 0.000 1
```

* energy above the lowest structure with this stoichiometry: 233 meV per atom
* magnetization: 0.0000 μB per atom
* VASP energy: -94.22 eV/cell

---

Record 6
This record from the Alexandria database describes crystalline Ho4TmAg at its relaxed geometry. The functional is GGA-PBE.

Cell and atoms, written as CIF:
```
data_Ho4TmAg
_cell_length_a 3.515
_cell_length_b 3.515
_cell_length_c 13.857
_cell_angle_alpha 90.00
_cell_angle_beta 90.00
_cell_angle_gamma 90.00
_space_group_name_H-M_alt 'P 4/m m m'
_space_group_IT_number 123
_space_group_name_Hall '-P 4 2'
loop_
_atom_site_label
_atom_site_type_symbol
_atom_site_fract_x
_atom_site_fract_y
_atom_site_fract_z
_atom_site_occupancy
Ho1 Ho 0.000 0.000 0.139 1
Ho2 Ho 0.500 0.500 0.322 1
Tm1 Tm 0.000 0.000 0.500 1
Ag1 Ag 0.500 0.500 0.000 1
```

* energy above the lowest structure with this stoichiometry: 0 meV per atom
* magnetization: 0.0000 μB per atom
* VASP energy: -26.11 eV/cell